PBE with a Hubbard U LiFeNiF6, optimized geometry; space group = No. 102; total energy = -87.60 eV per cell
1.0
4.7053 0.0000 0.0000
0.0000 4.7053 0.0000
0.0000 0.0000 9.1932
Li Fe Ni F
2 2 2 12
Cartesian
0.0000 0.0000 0.0000
2.3526 2.3526 4.5966
0.0000 0.0000 6.1227
2.3526 2.3526 1.5261
0.0000 0.0000 3.0372
2.3526 2.3526 7.6338
0.9063 0.9063 4.6312
0.9220 0.9220 7.5869
0.9626 0.9626 1.5338
1.3901 3.3152 6.1304
1.4306 3.2746 2.9903
1.4463 3.2589 0.0346
3.2589 1.4463 0.0346
3.2746 1.4306 2.9903
3.3152 1.3901 6.1304
3.7427 3.7427 1.5338
3.7833 3.7833 7.5869
3.7990 3.7990 4.6312